Record 1
Density functional theory data (PBE) for a relaxed structure of MgTl2H6Ir.

abc: 5.6087 5.6087 5.6087
angles: 60.00 60.00 60.00
With the nearest neighbours (Å) after each atom.
Atoms (fractional coordinates):
Mg 0.0000 0.0000 0.0000  6 H 2.24
Tl 0.2500 0.2500 0.2500  12 H 2.82
Tl 0.7500 0.7500 0.7500  12 H 2.82
H 0.2827 0.2827 0.7173  1 Ir 1.72
H 0.2827 0.7173 0.2827  1 Ir 1.72
H 0.2827 0.7173 0.7173  1 Ir 1.72
H 0.7173 0.2827 0.2827  1 Ir 1.72
H 0.7173 0.2827 0.7173  1 Ir 1.72
H 0.7173 0.7173 0.2827  1 Ir 1.72
Ir 0.5000 0.5000 0.5000  6 H 1.72

Output
Symmetry: Fm-3m, No. 225
Total DFT energy (no corrections) in eV for the cell shown: -34.56

***

Record 2
Density functional theory data (PBE) for a relaxed structure of Y2MgH6Ir.

abc: 5.3163 5.3163 5.3163
angles: 60.00 60.00 60.00
With the nearest neighbours (Å) after each atom.
Atoms (fractional coordinates):
Y 0.2500 0.2500 0.2500  12 H 2.66
Y 0.7500 0.7500 0.7500  12 H 2.66
Mg 0.0000 0.0000 0.0000  6 H 2.01
H 0.2674 0.2674 0.7326  1 Ir 1.75
H 0.2674 0.7326 0.2674  1 Ir 1.75
H 0.2674 0.7326 0.7326  1 Ir 1.75
H 0.7326 0.2674 0.2674  1 Ir 1.75
H 0.7326 0.2674 0.7326  1 Ir 1.75
H 0.7326 0.7326 0.2674  1 Ir 1.75
Ir 0.5000 0.5000 0.5000  6 H 1.75

Output
Symmetry: Fm-3m, No. 225
Total DFT energy (no corrections) in eV for the cell shown: -45.91

***

Record 3
Density functional theory data (PBE) for a relaxed structure of Na2H6IrO6.

abc: 5.6923 5.6923 4.4347
angles: 90.00 90.00 120.00
With the nearest neighbours (Å) after each atom.
Atoms (fractional coordinates):
Na 0.3333 0.6667 0.0521  6 O 2.29-2.38
Na 0.6667 0.3333 0.9479  6 O 2.29-2.38
H 0.1519 0.8121 0.5754  1 O 1.00
H 0.1879 0.3398 0.5754  1 O 1.00
H 0.3398 0.1519 0.4246  1 O 1.00
H 0.6602 0.8481 0.5754  1 O 1.00
H 0.8121 0.6602 0.4246  1 O 1.00
H 0.8481 0.1879 0.4246  1 O 1.00
Ir 0.0000 0.0000 0.0000  6 O 2.03
O 0.0195 0.7152 0.7410  1 H 1.00
O 0.2848 0.3043 0.7410  1 H 1.00
O 0.3043 0.0195 0.2590  1 H 1.00
O 0.6957 0.9805 0.7410  1 H 1.00
O 0.7152 0.6957 0.2590  1 H 1.00
O 0.9805 0.2848 0.2590  1 H 1.00

Output
Relative energy among the computed polymorphs in meV/atom: 0
Symmetry: P-3, No. 147

***

Record 4
Density functional theory data (PBE) for a relaxed structure of Na2H6IrO6.

abc: 5.6935 5.6935 5.6935
angles: 60.47 60.47 60.47
With the nearest neighbours (Å) after each atom.
Atoms (fractional coordinates):
Na 0.1664 0.1664 0.1664  6 O 2.33
Na 0.8336 0.8336 0.8336  6 O 2.33
H 0.1194 0.3156 0.6190  1 O 0.98
H 0.3156 0.6190 0.1194  1 O 0.98
H 0.3810 0.8806 0.6844  1 O 0.98
H 0.6190 0.1194 0.3156  1 O 0.98
H 0.6844 0.3810 0.8806  1 O 0.98
H 0.8806 0.6844 0.3810  1 O 0.98
Ir 0.5000 0.5000 0.5000  6 O 2.03
O 0.1245 0.4188 0.7112  1 H 0.98
O 0.2888 0.8755 0.5812  1 H 0.98
O 0.4188 0.7112 0.1245  1 H 0.98
O 0.5812 0.2888 0.8755  1 H 0.98
O 0.7112 0.1245 0.4188  1 H 0.98
O 0.8755 0.5812 0.2888  1 H 0.98

Output
Relative energy among the computed polymorphs in meV/atom: 4
Symmetry: R-3, No. 148

***

Record 5
Density functional theory data (PBE) for a relaxed structure of Na2H6IrPt.

abc: 5.0524 5.0524 5.0524
angles: 60.00 60.00 60.00
With the nearest neighbours (Å) after each atom.
Atoms (fractional coordinates):
Na 0.2500 0.2500 0.2500  12 H 2.53
Na 0.7500 0.7500 0.7500  12 H 2.53
H 0.2466 0.2466 0.7534  1 Ir 1.76, 1 Pt 1.81
H 0.2466 0.7534 0.2466  1 Ir 1.76, 1 Pt 1.81
H 0.2466 0.7534 0.7534  1 Ir 1.76, 1 Pt 1.81
H 0.7534 0.2466 0.2466  1 Ir 1.76, 1 Pt 1.81
H 0.7534 0.2466 0.7534  1 Ir 1.76, 1 Pt 1.81
H 0.7534 0.7534 0.2466  1 Ir 1.76, 1 Pt 1.81
Ir 0.0000 0.0000 0.0000  6 H 1.76
Pt 0.5000 0.5000 0.5000  6 H 1.81

Output
Symmetry: Fm-3m, No. 225
Total DFT energy (no corrections) in eV for the cell shown: -40.21

***

Record 6
Density functional theory data (PBE) for a relaxed structure of NaSr2H6Ir.

abc: 5.5902 5.5902 5.5902
angles: 60.00 60.00 60.00
With the nearest neighbours (Å) after each atom.
Atoms (fractional coordinates):
Na 0.0000 0.0000 0.0000  6 H 2.21
Sr 0.2500 0.2500 0.2500  12 H 2.80
Sr 0.7500 0.7500 0.7500  12 H 2.80
H 0.2796 0.2796 0.7204  1 Ir 1.74
H 0.2796 0.7204 0.2796  1 Ir 1.74
H 0.2796 0.7204 0.7204  1 Ir 1.74
H 0.7204 0.2796 0.2796  1 Ir 1.74
H 0.7204 0.2796 0.7204  1 Ir 1.74
H 0.7204 0.7204 0.2796  1 Ir 1.74
Ir 0.5000 0.5000 0.5000  6 H 1.74

Output
Symmetry: Fm-3m, No. 225
Total DFT energy (no corrections) in eV for the cell shown: -37.71

***

Record 7
Density functional theory data (PBE) for a relaxed structure of Nb2H2Ir.

abc: 2.9343 2.9343 12.8955
angles: 90.00 90.00 90.00
With the nearest neighbours (Å) after each atom.
Atoms (fractional coordinates):
Nb 0.0000 0.0000 0.1465  4 H 1.98
Nb 0.0000 0.0000 0.8535  4 H 1.98
Nb 0.5000 0.5000 0.3535  4 H 1.98
Nb 0.5000 0.5000 0.6465  4 H 1.98
H 0.0000 0.5000 0.2500  4 Nb 1.98, 4 H 2.07
H 0.0000 0.5000 0.7500  4 Nb 1.98, 4 H 2.07
H 0.5000 0.0000 0.2500  4 Nb 1.98, 4 H 2.07
H 0.5000 0.0000 0.7500  4 Nb 1.98, 4 H 2.07
Ir 0.0000 0.0000 0.5000  8 Nb 2.81, 4 Ir 2.93
Ir 0.5000 0.5000 0.0000  8 Nb 2.81, 4 Ir 2.93

Output
Symmetry: I4/mmm, No. 139
Total DFT energy (no corrections) in eV for the cell shown: -75.16

***

Record 8
Density functional theory data (PBE) for a relaxed structure of Ni3H6Ir.

abc: 4.6295 4.6295 4.6295
angles: 60.00 60.00 60.00
With the nearest neighbours (Å) after each atom.
Atoms (fractional coordinates):
Ni 0.0000 0.0000 0.0000  6 H 1.59
Ni 0.2500 0.2500 0.2500  12 H 2.32
Ni 0.7500 0.7500 0.7500  12 H 2.32
H 0.2432 0.2432 0.7568  1 Ni 1.59, 1 Ir 1.68
H 0.2432 0.7568 0.2432  1 Ni 1.59, 1 Ir 1.68
H 0.2432 0.7568 0.7568  1 Ni 1.59, 1 Ir 1.68
H 0.7568 0.2432 0.2432  1 Ni 1.59, 1 Ir 1.68
H 0.7568 0.2432 0.7568  1 Ni 1.59, 1 Ir 1.68
H 0.7568 0.7568 0.2432  1 Ni 1.59, 1 Ir 1.68
Ir 0.5000 0.5000 0.5000  6 H 1.68

Output
Symmetry: Fm-3m, No. 225
Total DFT energy (no corrections) in eV for the cell shown: -43.37

***

Record 9
Density functional theory data (PBE) for a relaxed structure of NiH6IrPd2.

abc: 4.7780 4.7780 4.7780
angles: 60.00 60.00 60.00
With the nearest neighbours (Å) after each atom.
Atoms (fractional coordinates):
Ni 0.0000 0.0000 0.0000  6 H 1.66
H 0.2449 0.2449 0.7551  1 Ni 1.66, 1 Ir 1.72
H 0.2449 0.7551 0.2449  1 Ni 1.66, 1 Ir 1.72
H 0.2449 0.7551 0.7551  1 Ni 1.66, 1 Ir 1.72
H 0.7551 0.2449 0.2449  1 Ni 1.66, 1 Ir 1.72
H 0.7551 0.2449 0.7551  1 Ni 1.66, 1 Ir 1.72
H 0.7551 0.7551 0.2449  1 Ni 1.66, 1 Ir 1.72
Ir 0.5000 0.5000 0.5000  6 H 1.72
Pd 0.2500 0.2500 0.2500  12 H 2.39
Pd 0.7500 0.7500 0.7500  12 H 2.39

Output
Symmetry: Fm-3m, No. 225
Total DFT energy (no corrections) in eV for the cell shown: -43.46

***

Record 10
Density functional theory data (PBE) for a relaxed structure of Ni2H6IrPd.

abc: 4.8091 4.8091 4.8091
angles: 60.00 60.00 60.00
With the nearest neighbours (Å) after each atom.
Atoms (fractional coordinates):
Ni 0.2500 0.2500 0.2500  12 H 2.40
Ni 0.7500 0.7500 0.7500  12 H 2.40
H 0.2468 0.2468 0.7532  1 Ir 1.68, 1 Pd 1.72
H 0.2468 0.7532 0.2468  1 Ir 1.68, 1 Pd 1.72
H 0.2468 0.7532 0.7532  1 Ir 1.68, 1 Pd 1.72
H 0.7532 0.2468 0.2468  1 Ir 1.68, 1 Pd 1.72
H 0.7532 0.2468 0.7532  1 Ir 1.68, 1 Pd 1.72
H 0.7532 0.7532 0.2468  1 Ir 1.68, 1 Pd 1.72
Ir 0.0000 0.0000 0.0000  6 H 1.68
Pd 0.5000 0.5000 0.5000  6 H 1.72

Output
Symmetry: Fm-3m, No. 225
Total DFT energy (no corrections) in eV for the cell shown: -42.66

***

Record 11
Density functional theory data (PBE) for a relaxed structure of Ni2H6IrPt.

abc: 4.8427 4.8427 4.8427
angles: 60.00 60.00 60.00
With the nearest neighbours (Å) after each atom.
Atoms (fractional coordinates):
Ni 0.2500 0.2500 0.2500  12 H 2.42
Ni 0.7500 0.7500 0.7500  12 H 2.42
H 0.2480 0.2480 0.7520  1 Ir 1.70, 1 Pt 1.73
H 0.2480 0.7520 0.2480  1 Ir 1.70, 1 Pt 1.73
H 0.2480 0.7520 0.7520  1 Ir 1.70, 1 Pt 1.73
H 0.7520 0.2480 0.2480  1 Ir 1.70, 1 Pt 1.73
H 0.7520 0.2480 0.7520  1 Ir 1.70, 1 Pt 1.73
H 0.7520 0.7520 0.2480  1 Ir 1.70, 1 Pt 1.73
Ir 0.0000 0.0000 0.0000  6 H 1.70
Pt 0.5000 0.5000 0.5000  6 H 1.73

Output
Symmetry: Fm-3m, No. 225
Total DFT energy (no corrections) in eV for the cell shown: -43.34

***

Record 12
Density functional theory data (PBE) for a relaxed structure of Sc2NiH6Ir.

abc: 4.9000 4.9000 4.9000
angles: 60.00 60.00 60.00
With the nearest neighbours (Å) after each atom.
Atoms (fractional coordinates):
Sc 0.2500 0.2500 0.2500  12 H 2.45
Sc 0.7500 0.7500 0.7500  12 H 2.45
Ni 0.0000 0.0000 0.0000  6 H 1.69
H 0.2442 0.2442 0.7558  1 Ni 1.69, 1 Ir 1.77
H 0.2442 0.7558 0.2442  1 Ni 1.69, 1 Ir 1.77
H 0.2442 0.7558 0.7558  1 Ni 1.69, 1 Ir 1.77
H 0.7558 0.2442 0.2442  1 Ni 1.69, 1 Ir 1.77
H 0.7558 0.2442 0.7558  1 Ni 1.69, 1 Ir 1.77
H 0.7558 0.7558 0.2442  1 Ni 1.69, 1 Ir 1.77
Ir 0.5000 0.5000 0.5000  6 H 1.77

Output
Symmetry: Fm-3m, No. 225
Total DFT energy (no corrections) in eV for the cell shown: -51.31

***

Record 13
Density functional theory data (PBE) for a relaxed structure of HIrO2.

abc: 3.2147 3.2147 8.4348
angles: 90.00 90.00 120.00
With the nearest neighbours (Å) after each atom.
Atoms (fractional coordinates):
H 0.3333 0.6667 0.2500  2 O 1.20
H 0.6667 0.3333 0.7500  2 O 1.20
Ir 0.0000 0.0000 0.0000  6 O 2.07
Ir 0.0000 0.0000 0.5000  6 O 2.07
O 0.3333 0.6667 0.1082  1 H 1.20
O 0.3333 0.6667 0.3918  1 H 1.20
O 0.6667 0.3333 0.6082  1 H 1.20
O 0.6667 0.3333 0.8918  1 H 1.20

Output
Symmetry: P6_3/mmc, No. 194
Total DFT energy (no corrections) in eV for the cell shown: -49.47

***

Record 14
Density functional theory data (PBE) for a relaxed structure of HIrO2.

abc: 10.1778 3.1871 4.3187
angles: 90.00 90.00 90.00
With the nearest neighbours (Å) after each atom.
Atoms (fractional coordinates):
H 0.1167 0.2500 0.0287  1 O 1.12
H 0.3833 0.7500 0.5287  1 O 1.12
H 0.6167 0.2500 0.4713  1 O 1.12
H 0.8833 0.7500 0.9713  1 O 1.12
Ir 0.1320 0.7500 0.5466  6 O 2.07-2.08
Ir 0.3680 0.2500 0.0466  6 O 2.07-2.08
Ir 0.6320 0.7500 0.9534  6 O 2.07-2.08
Ir 0.8680 0.2500 0.4534  6 O 2.07-2.08
O 0.0596 0.2500 0.2938  1 H 1.28
O 0.1866 0.2500 0.8272  1 H 1.12
O 0.3134 0.7500 0.3272  1 H 1.12
O 0.4404 0.7500 0.7938  1 H 1.28
O 0.5596 0.2500 0.2062  1 H 1.28
O 0.6866 0.2500 0.6728  1 H 1.12
O 0.8134 0.7500 0.1728  1 H 1.12
O 0.9404 0.7500 0.7062  1 H 1.28

Output
Symmetry: Pnma, No. 62
Total DFT energy (no corrections) in eV for the cell shown: -98.77

***

Record 15
Density functional theory data (PBE) for a relaxed structure of PH2IrO5.

abc: 5.1356 5.3809 6.2928
angles: 98.17 93.58 106.56
With the nearest neighbours (Å) after each atom.
Atoms (fractional coordinates):
P 0.2416 0.3773 0.2379  4 O 1.51-1.61
P 0.7584 0.6227 0.7621  4 O 1.51-1.61
H 0.3829 0.8518 0.7660  1 O 1.01
H 0.4126 0.8741 0.2879  1 O 1.00
H 0.5874 0.1259 0.7121  1 O 1.00
H 0.6171 0.1482 0.2340  1 O 1.01
Ir 0.1354 0.2191 0.7099  6 O 2.02-2.09
Ir 0.8646 0.7809 0.2901  6 O 2.02-2.09
O 0.0681 0.2658 0.0238  1 P 1.51
O 0.1598 0.1454 0.3797  1 P 1.61
O 0.1825 0.6244 0.3566  1 P 1.55, 1 H 1.65
O 0.4235 0.0484 0.7858  2 H 1.00-1.01
O 0.4451 0.5700 0.7660  1 P 1.55, 1 H 1.64
O 0.5549 0.4300 0.2340  1 P 1.55, 1 H 1.64
O 0.5765 0.9516 0.2142  2 H 1.00-1.01
O 0.8175 0.3756 0.6434  1 P 1.55, 1 H 1.65
O 0.8402 0.8546 0.6203  1 P 1.61
O 0.9319 0.7342 0.9762  1 P 1.51

Output
Symmetry: P-1, No. 2
Total DFT energy (no corrections) in eV for the cell shown: -114.10

***

Record 16
Density functional theory data (PBE) for a relaxed structure of PaH4Ir.

abc: 4.3427 4.3427 7.2793
angles: 105.83 105.83 60.06
With the nearest neighbours (Å) after each atom.
Atoms (fractional coordinates):
Pa 0.2313 0.7687 0.7500  12 H 2.35-2.61
Pa 0.7687 0.2313 0.2500  12 H 2.35-2.61
H 0.1193 0.2729 0.6014  1 Ir 1.71, 1 H 1.80
H 0.2729 0.1193 0.1014  1 Ir 1.71, 1 H 1.80
H 0.2759 0.6986 0.0921  1 Ir 1.71, 1 H 1.80
H 0.3014 0.7241 0.4079  1 Ir 1.71, 1 H 1.80
H 0.6986 0.2759 0.5921  1 Ir 1.71, 1 H 1.80
H 0.7241 0.3014 0.9079  1 Ir 1.71, 1 H 1.80
H 0.7271 0.8807 0.8986  1 Ir 1.71, 1 H 1.80
H 0.8807 0.7271 0.3986  1 Ir 1.71, 1 H 1.80
Ir 0.0000 0.5000 0.0000  4 H 1.71
Ir 0.5000 0.0000 0.5000  4 H 1.71

Output
Symmetry: C2/c, No. 15
Total DFT energy (no corrections) in eV for the cell shown: -67.52

***

Record 17
Density functional theory data (PBE) for a relaxed structure of PaH3Ir.

abc: 4.0930 4.2881 6.1607
angles: 90.00 109.18 90.00
With the nearest neighbours (Å) after each atom.
Atoms (fractional coordinates):
Pa 0.1318 0.2500 0.2695  9 H 2.29-2.37
Pa 0.8682 0.7500 0.7305  9 H 2.29-2.37
H 0.1082 0.7500 0.1330  1 Ir 1.88
H 0.3100 0.5245 0.6190  1 Ir 1.76, 1 H 1.93
H 0.3100 0.9755 0.6190  1 Ir 1.76, 1 H 1.93
H 0.6900 0.0245 0.3810  1 Ir 1.76, 1 H 1.93
H 0.6900 0.4755 0.3810  1 Ir 1.76, 1 H 1.93
H 0.8918 0.2500 0.8670  1 Ir 1.88
Ir 0.4224 0.2500 0.8444  3 H 1.76-1.88
Ir 0.5776 0.7500 0.1556  3 H 1.76-1.88

Output
Symmetry: P2_1/m, No. 11
Total DFT energy (no corrections) in eV for the cell shown: -61.03

***

Record 18
Density functional theory data (PBE) for a relaxed structure of Sc2H6IrPd.

abc: 5.0487 5.0487 5.0487
angles: 60.00 60.00 60.00
With the nearest neighbours (Å) after each atom.
Atoms (fractional coordinates):
Sc 0.2500 0.2500 0.2500  12 H 2.52
Sc 0.7500 0.7500 0.7500  12 H 2.52
H 0.2434 0.2434 0.7566  1 Ir 1.74, 1 Pd 1.83
H 0.2434 0.7566 0.2434  1 Ir 1.74, 1 Pd 1.83
H 0.2434 0.7566 0.7566  1 Ir 1.74, 1 Pd 1.83
H 0.7566 0.2434 0.2434  1 Ir 1.74, 1 Pd 1.83
H 0.7566 0.2434 0.7566  1 Ir 1.74, 1 Pd 1.83
H 0.7566 0.7566 0.2434  1 Ir 1.74, 1 Pd 1.83
Ir 0.0000 0.0000 0.0000  6 H 1.74
Pd 0.5000 0.5000 0.5000  6 H 1.83

Output
Symmetry: Fm-3m, No. 225
Total DFT energy (no corrections) in eV for the cell shown: -50.87

***

Record 19
Density functional theory data (PBE) for a relaxed structure of Tl2H6IrPd.

abc: 5.3755 5.3755 5.3755
angles: 60.00 60.00 60.00
With the nearest neighbours (Å) after each atom.
Atoms (fractional coordinates):
Tl 0.2500 0.2500 0.2500  12 H 2.69
Tl 0.7500 0.7500 0.7500  12 H 2.69
H 0.2320 0.2320 0.7680  1 Ir 1.76
H 0.2320 0.7680 0.2320  1 Ir 1.76
H 0.2320 0.7680 0.7680  1 Ir 1.76
H 0.7680 0.2320 0.2320  1 Ir 1.76
H 0.7680 0.2320 0.7680  1 Ir 1.76
H 0.7680 0.7680 0.2320  1 Ir 1.76
Ir 0.0000 0.0000 0.0000  6 H 1.76
Pd 0.5000 0.5000 0.5000  6 H 2.04

Output
Symmetry: Fm-3m, No. 225
Total DFT energy (no corrections) in eV for the cell shown: -37.36

***

Record 20
Density functional theory data (PBE) for a relaxed structure of PmH4Ir.

abc: 4.5767 4.5767 7.1844
angles: 105.56 105.56 58.52
With the nearest neighbours (Å) after each atom.
Atoms (fractional coordinates):
Pm 0.2119 0.7881 0.7500  12 H 2.45-2.68
Pm 0.7881 0.2119 0.2500  12 H 2.45-2.68
H 0.1437 0.2732 0.6077  1 Ir 1.69
H 0.2683 0.6697 0.0828  1 Ir 1.68
H 0.2732 0.1437 0.1077  1 Ir 1.69
H 0.3303 0.7317 0.4172  1 Ir 1.68
H 0.6697 0.2683 0.5828  1 Ir 1.68
H 0.7268 0.8563 0.8923  1 Ir 1.69
H 0.7317 0.3303 0.9172  1 Ir 1.68
H 0.8563 0.7268 0.3923  1 Ir 1.69
Ir 0.0000 0.5000 0.0000  4 H 1.68-1.69
Ir 0.5000 0.0000 0.5000  4 H 1.68-1.69

Output
Symmetry: C2/c, No. 15
Total DFT energy (no corrections) in eV for the cell shown: -59.94